# 1
The following is a GGA-PBE calculation of crystalline BeBr2Cl at its relaxed geometry, from Alexandria via LeMat-Bulk.

DOS(E_F), states/eV/atom: 0.25
Excess energy over the best structure of this formula in the dataset, kJ per mole of atoms: 101.5
Raw formation energy, meV/atom: 356
DFT total energy, eV per formula unit: -7.5

Lattice parameters (Å, degrees): 4.9566 9.1046 4.9283 90.00 90.00 90.00
Last column: nearest neighbours and their distance in Å.
Space group Cmmm (No. 65)
Asymmetric unit:
Be: 0.0000 0.0000 0.0000 [2 per cell]  2 Cl 2.48
Br: 0.2500 0.2500 0.5000 [4 per cell]  2 Br 2.48
Cl: 0.0000 0.5000 0.0000 [2 per cell]  2 Be 2.48

# 2
The following is a GGA-PBE calculation of crystalline SmDyHo2 at its relaxed geometry, from Alexandria via LeMat-Bulk.

DOS(E_F), states/eV/atom: 2.30
Excess energy over the best structure of this formula in the dataset, kJ per mole of atoms: 11.9
E_form, eV/atom: 0.14
DFT total energy, eV per formula unit: -17.9

Lattice parameters (Å, degrees): 8.0151 8.0151 8.0151 90.00 90.00 90.00
Last column: nearest neighbours and their distance in Å.
Space group Fm-3m (No. 225)
Asymmetric unit:
Sm: 0.0000 0.0000 0.0000 [4 per cell]  8 Ho 3.47
Dy: 0.0000 0.0000 0.5000 [4 per cell]  8 Ho 3.47
Ho: 0.2500 0.2500 0.2500 [8 per cell]  4 Dy 3.47, 4 Sm 3.47

# 3
The following is a GGA-PBE calculation of crystalline ScAgRu2 at its relaxed geometry, from Alexandria via LeMat-Bulk.

DOS(E_F), states/eV/atom: 1.26
Excess energy over the best structure of this formula in the dataset, kJ per mole of atoms: 3.1
E_form, eV/atom: 0.06
DFT total energy, eV per formula unit: -27.5

Lattice parameters (Å, degrees): 4.0508 4.0508 7.8302 90.00 90.00 90.00
Last column: nearest neighbours and their distance in Å.
Space group I-4m2 (No. 119)
Asymmetric unit:
Sc: 0.0000 0.0000 0.0000 [2 per cell]  8 Ru 2.82-2.86, 4 Ag 2.82
Ag: 0.0000 0.5000 0.7500 [2 per cell]  4 Sc 2.82, 8 Ru 2.82-2.86
Ru: 0.0000 0.0000 0.5000 [2 per cell]  4 Ru 2.82, 4 Ag 2.82, 4 Sc 2.86
Ru: 0.0000 0.5000 0.2500 [2 per cell]  4 Ru 2.82, 4 Sc 2.82, 4 Ag 2.86

# 4
The following is a GGA-PBE calculation of crystalline K2HgSb at its relaxed geometry, from Alexandria via LeMat-Bulk.

DOS(E_F), states/eV/atom: 0.63
Excess energy over the best structure of this formula in the dataset, kJ per mole of atoms: 18.1
Raw formation energy, meV/atom: -149
DFT total energy, eV per formula unit: -7.2

Lattice parameters (Å, degrees): 4.4607 4.4607 7.4242 90.00 90.00 90.00
Last column: nearest neighbours and their distance in Å.
Space group P4mm (No. 99)
Asymmetric unit:
K: 0.0000 0.0000 0.0000 [1 per cell]  1 Sb 3.40, 4 Hg 3.48
K: 0.5000 0.5000 0.3352 [1 per cell]  1 Hg 3.46, 4 Sb 3.51
Hg: 0.5000 0.5000 0.8016 [1 per cell]  5 K 3.46-3.48, 4 Sb 3.70
Sb: 0.0000 0.0000 0.5418 [1 per cell]  5 K 3.40-3.51, 4 Hg 3.70

# 5
The following is a GGA-PBE calculation of crystalline Mg8Zn2Cu at its relaxed geometry, from Alexandria via LeMat-Bulk.

DOS(E_F), states/eV/atom: 0.32
E_form, eV/atom: -0.04
DFT total energy, eV per formula unit: -19.8

Lattice parameters (Å, degrees): 15.8874 4.6233 6.4554 90.00 111.92 90.00
Last column: nearest neighbours and their distance in Å.
Space group C2/m (No. 12)
Asymmetric unit:
Mg: 0.0202 0.0000 0.2820 [4 per cell]  2 Cu 2.79, 1 Zn 2.81, 5 Mg 2.99-3.11
Mg: 0.0992 0.5000 0.9357 [4 per cell]  1 Cu 2.66, 2 Zn 2.84
Mg: 0.1595 0.5000 0.4386 [4 per cell]  1 Cu 2.71, 3 Zn 2.79-2.91, 1 Mg 3.02
Mg: 0.1938 0.0000 0.7720 [4 per cell]  3 Zn 2.78-3.01, 3 Mg 3.07-3.11
Zn: 0.1793 0.0000 0.1880 [4 per cell]  9 Mg 2.78-3.01
Cu: 0.0000 0.5000 0.5000 [2 per cell]  8 Mg 2.66-2.79

# 6
The following is a GGA-PBE calculation of crystalline Pr2Er3Mg at its relaxed geometry, from Alexandria via LeMat-Bulk.

DOS(E_F), states/eV/atom: 1.23
Excess energy over the best structure of this formula in the dataset, kJ per mole of atoms: 0.0
E_form, eV/atom: 0.13
DFT total energy, eV per formula unit: -24.1

Lattice parameters (Å, degrees): 9.8932 11.5950 6.7729 90.00 95.13 90.00
Last column: nearest neighbours and their distance in Å.
Space group C2/c (No. 15)
Asymmetric unit:
Pr: 0.1633 0.2340 0.2004 [8 per cell]  2 Pr 3.36, 2 Mg 3.38-3.47, 5 Er 3.49-3.67
Er: 0.0000 0.0474 0.7500 [4 per cell]  1 Mg 3.16, 2 Er 3.48
Er: 0.1898 0.4840 0.4875 [8 per cell]  2 Mg 3.28-3.30, 4 Er 3.41-3.61, 4 Pr 3.49-3.59
Mg: 0.0000 0.3200 0.7500 [4 per cell]  5 Er 3.16-3.30, 4 Pr 3.38-3.47

# 7
The following is a GGA-PBE calculation of crystalline SiMoPt2 at its relaxed geometry, from Alexandria via LeMat-Bulk.

DOS(E_F), states/eV/atom: 0.90
Raw formation energy, meV/atom: 49
DFT total energy, eV per formula unit: -28.1

Lattice parameters (Å, degrees): 3.7706 3.7706 18.3092 90.00 90.00 90.00
Last column: nearest neighbours and their distance in Å.
Space group I-42d (No. 122)
Asymmetric unit:
Si: 0.0000 0.0000 0.0000 [4 per cell]  4 Pt 2.64, 4 Mo 2.67
Mo: 0.0000 0.0000 0.5000 [4 per cell]  4 Pt 2.66, 4 Si 2.67
Pt: 0.2443 0.2500 0.1250 [8 per cell]  4 Pt 2.64-2.70, 2 Si 2.64, 2 Mo 2.66

# 8
The following is a GGA-PBE calculation of crystalline MgCrFe2 at its relaxed geometry, from Alexandria via LeMat-Bulk.

DOS(E_F), states/eV/atom: 1.05
E_form, eV/atom: 0.31
DFT total energy, eV per formula unit: -26.9

Lattice parameters (Å, degrees): 2.5306 4.1691 4.9420 90.00 99.76 90.00
Last column: nearest neighbours and their distance in Å.
Space group Pm (No. 6)
Asymmetric unit:
Mg: 0.0000 0.0000 0.0000 [1 per cell]  2 Mg 2.53, 4 Fe 2.57-2.59, 2 Cr 2.68
Cr: 0.7481 0.5000 0.2945 [1 per cell]  4 Fe 2.43-2.70, 2 Cr 2.53, 2 Mg 2.68
Fe: 0.2967 0.5000 0.7590 [1 per cell]  3 Cr 2.47-2.73, 4 Fe 2.53-2.56, 2 Mg 2.58
Fe: 0.5157 0.0000 0.4993 [1 per cell]  2 Cr 2.43, 4 Fe 2.53-2.56, 2 Mg 2.57-2.59

# 9
The following is a GGA-PBE calculation of crystalline Cd2Bi2S at its relaxed geometry, from Alexandria via LeMat-Bulk.

DOS(E_F), states/eV/atom: 0.54
Excess energy over the best structure of this formula in the dataset, kJ per mole of atoms: 8.2
Raw formation energy, meV/atom: 178
DFT total energy, eV per formula unit: -12.8

Lattice parameters (Å, degrees): 4.0043 4.0043 16.6301 90.00 90.00 90.00
Last column: nearest neighbours and their distance in Å.
Space group I4/mmm (No. 139)
Asymmetric unit:
Cd: 0.0000 0.5000 0.2500 [4 per cell]  4 Cd 2.83
Bi: 0.0000 0.0000 0.0976 [4 per cell]  4 Cd 3.23, 1 Bi 3.25, 4 S 3.26
S: 0.0000 0.0000 0.5000 [2 per cell]  8 Bi 3.26

# 10
The following is a GGA-PBE calculation of crystalline BaLiRe at its relaxed geometry, from Alexandria via LeMat-Bulk.

DOS(E_F), states/eV/atom: 0.30
Excess energy over the best structure of this formula in the dataset, kJ per mole of atoms: 69.3
E_form, eV/atom: 1.77
DFT total energy, eV per formula unit: -11.0

Lattice parameters (Å, degrees): 7.1046 7.1046 7.1046 90.00 90.00 90.00
Last column: nearest neighbours and their distance in Å.
Space group F-43m (No. 216)
Asymmetric unit:
Ba: 0.0000 0.0000 0.0000 [4 per cell]  4 Re 3.08, 4 Li 3.08
Li: 0.2500 0.2500 0.2500 [4 per cell]  4 Ba 3.08
Re: 0.2500 0.2500 0.7500 [4 per cell]  4 Ba 3.08

# 11
The following is a GGA-PBE calculation of crystalline Sr2CeSb3Rh4 at its relaxed geometry, from Alexandria via LeMat-Bulk.

DOS(E_F), states/eV/atom: 0.98
Raw formation energy, meV/atom: -779
DFT total energy, eV per formula unit: -58.9

Lattice parameters (Å, degrees): 4.5892 4.5892 11.0434 90.00 90.00 90.00
Last column: nearest neighbours and their distance in Å.
Space group P-4m2 (No. 115)
Asymmetric unit:
Sr: 0.0000 0.5000 0.2281 [2 per cell]  8 Rh 3.41-3.57, 6 Sb 3.44-3.78, 2 Ce 3.78
Ce: 0.0000 0.0000 0.5000 [1 per cell]  4 Rh 2.75
Sb: 0.0000 0.5000 0.8750 [2 per cell]  5 Rh 2.63-2.68
Sb: 0.5000 0.5000 0.5000 [1 per cell]  4 Rh 2.75
Rh: 0.0000 0.0000 0.0000 [1 per cell]  4 Sb 2.68
Rh: 0.0000 0.5000 0.6365 [2 per cell]  3 Sb 2.63-2.75, 2 Ce 2.75
Rh: 0.5000 0.5000 0.0000 [1 per cell]  4 Sb 2.68

# 12
The following is a GGA-PBE calculation of crystalline La6GeS2I3 at its relaxed geometry, from Alexandria via LeMat-Bulk.

DOS(E_F), states/eV/atom: 0.49
Raw formation energy, meV/atom: -1456
DFT total energy, eV per formula unit: -64.6

Lattice parameters (Å, degrees): 7.4185 12.8568 8.2243 90.00 107.52 90.00
Last column: nearest neighbours and their distance in Å.
Space group C2/m (No. 12)
Asymmetric unit:
La: 0.2209 0.0000 0.1936 [4 per cell]  2 S 2.88, 1 Ge 2.97
La: 0.2370 0.3286 0.1961 [8 per cell]  2 S 2.88, 1 Ge 2.97
Ge: 0.0000 0.5000 0.0000 [2 per cell]  6 La 2.97
S: 0.0000 0.1675 0.0000 [4 per cell]  6 La 2.88
I: 0.0000 0.0000 0.5000 [2 per cell]  6 La 3.39-3.46
I: 0.0000 0.3381 0.5000 [4 per cell]  6 La 3.42-3.46

# 13
The following is a GGA-PBE calculation of crystalline Bi2Sb2Pd7Pt at its relaxed geometry, from Alexandria via LeMat-Bulk.

DOS(E_F), states/eV/atom: 0.65
Raw formation energy, meV/atom: -201
DFT total energy, eV per formula unit: -60.8

Lattice parameters (Å, degrees): 5.7063 5.7319 15.1828 90.00 96.44 90.00
Last column: nearest neighbours and their distance in Å.
Space group C2/m (No. 12)
Asymmetric unit:
Bi: 0.1282 0.0000 0.4073 [4 per cell]  5 Pd 2.83-2.87
Sb: 0.0726 0.5000 0.2430 [4 per cell]  5 Pd 2.63-2.66
Pd: 0.0000 0.5000 0.0000 [2 per cell]  8 Pd 2.83, 4 Pt 2.85-2.87
Pd: 0.1305 0.5000 0.4193 [4 per cell]  1 Sb 2.66, 5 Bi 2.83-2.87
Pd: 0.2108 0.2500 0.8684 [8 per cell]  2 Sb 2.63, 2 Pt 2.83, 6 Pd 2.83-2.87
Pt: 0.0000 0.0000 0.0000 [2 per cell]  12 Pd 2.83-2.87

# 14
The following is a GGA-PBE calculation of crystalline In2GaPt2 at its relaxed geometry, from Alexandria via LeMat-Bulk.

DOS(E_F), states/eV/atom: 0.35
E_form, eV/atom: -0.39
DFT total energy, eV per formula unit: -22.5

Lattice parameters (Å, degrees): 6.9962 6.9962 3.9141 90.00 90.00 90.00
Last column: nearest neighbours and their distance in Å.
Space group P4/mbm (No. 127)
Asymmetric unit:
In: 0.1543 0.3457 0.0000 [4 per cell]  6 Pt 2.74-2.90, 1 In 3.05
Ga: 0.0000 0.0000 0.5000 [2 per cell]  4 Pt 2.66
Pt: 0.1514 0.6514 0.5000 [4 per cell]  2 Ga 2.66, 6 In 2.74-2.90

# 15
The following is a GGA-PBE calculation of crystalline ScNb3In at its relaxed geometry, from Alexandria via LeMat-Bulk.

DOS(E_F), states/eV/atom: 1.47
Excess energy over the best structure of this formula in the dataset, kJ per mole of atoms: 19.4
E_form, eV/atom: 1.57
DFT total energy, eV per formula unit: -31.4

Lattice parameters (Å, degrees): 5.0574 5.0574 5.0574 90.00 90.00 90.00
Last column: nearest neighbours and their distance in Å.
Space group Pm-3m (No. 221)
Asymmetric unit:
Sc: 0.0000 0.0000 0.0000 [1 per cell]  12 Nb 3.58
Nb: 0.0000 0.5000 0.5000 [3 per cell]  2 In 2.53
In: 0.5000 0.5000 0.5000 [1 per cell]  6 Nb 2.53

# 16
The following is a GGA-PBE calculation of crystalline LaIO2F at its relaxed geometry, from Alexandria via LeMat-Bulk.

DOS(E_F), states/eV/atom: 0.81
Raw formation energy, meV/atom: -1248
DFT total energy, eV per formula unit: -24.5

Lattice parameters (Å, degrees): 4.2952 4.2952 7.2403 90.00 90.00 90.00
Last column: nearest neighbours and their distance in Å.
Space group P4/mmm (No. 123)
Asymmetric unit:
La: 0.0000 0.0000 0.0000 [1 per cell]  4 O 2.15
I: 0.0000 0.0000 0.5000 [1 per cell]  4 F 3.04
O: 0.0000 0.5000 0.0000 [2 per cell]  2 La 2.15
F: 0.5000 0.5000 0.5000 [1 per cell]  4 I 3.04

# 17
The following is a GGA-PBE calculation of crystalline HoUOsRu at its relaxed geometry, from Alexandria via LeMat-Bulk.

DOS(E_F), states/eV/atom: 2.04
Excess energy over the best structure of this formula in the dataset, kJ per mole of atoms: 7.5
E_form, eV/atom: -0.17
DFT total energy, eV per formula unit: -37.0

Lattice parameters (Å, degrees): 6.7833 6.7833 6.7833 90.00 90.00 90.00
Last column: nearest neighbours and their distance in Å.
Space group F-43m (No. 216)
Asymmetric unit:
Ho: 0.0000 0.0000 0.0000 [4 per cell]  4 Ru 2.94, 4 Os 2.94
U: 0.0000 0.0000 0.5000 [4 per cell]  4 Ru 2.94, 4 Os 2.94
Os: 0.2500 0.2500 0.2500 [4 per cell]  4 Ho 2.94, 4 U 2.94
Ru: 0.2500 0.2500 0.7500 [4 per cell]  4 Ho 2.94, 4 U 2.94

# 18
The following is a GGA-PBE calculation of crystalline Sr3Te12P5 at its relaxed geometry, from Alexandria via LeMat-Bulk.

DOS(E_F), states/eV/atom: 0.39
Raw formation energy, meV/atom: -293
DFT total energy, eV per formula unit: -75.7

Lattice parameters (Å, degrees): 17.4655 17.4655 17.4655 90.00 90.00 90.00
Last column: nearest neighbours and their distance in Å.
Space group Ia-3d (No. 230)
Asymmetric unit:
Sr: 0.0000 0.2500 0.1250 [24 per cell]  8 Te 3.36-3.50
Te: 0.0290 0.0531 0.6473 [96 per cell]  2 P 2.62-2.78
P: 0.0000 0.0000 0.0000 [16 per cell]  6 Te 2.78
P: 0.0000 0.2500 0.3750 [24 per cell]  4 Te 2.62

# 19
The following is a GGA-PBE calculation of crystalline NpInSnHg at its relaxed geometry, from Alexandria via LeMat-Bulk.

DOS(E_F), states/eV/atom: 2.61
Excess energy over the best structure of this formula in the dataset, kJ per mole of atoms: 0.0
E_form, eV/atom: -0.03
DFT total energy, eV per formula unit: -20.1

Lattice parameters (Å, degrees): 4.4808 4.5544 4.8829 90.00 90.00 90.00
Last column: nearest neighbours and their distance in Å.
Space group Pmmm (No. 47)
Asymmetric unit:
Np: 0.0000 0.0000 0.0000 [1 per cell]  4 Sn 3.19, 4 In 3.31, 4 Hg 3.34
In: 0.5000 0.0000 0.5000 [1 per cell]  4 Hg 3.19, 4 Np 3.31, 4 Sn 3.34
Sn: 0.5000 0.5000 0.0000 [1 per cell]  4 Np 3.19, 4 Hg 3.31, 4 In 3.34
Hg: 0.0000 0.5000 0.5000 [1 per cell]  4 In 3.19, 4 Sn 3.31, 4 Np 3.34

# 20
The following is a GGA-PBE calculation of crystalline CaBi3B at its relaxed geometry, from Alexandria via LeMat-Bulk.

DOS(E_F), states/eV/atom: 0.76
Excess energy over the best structure of this formula in the dataset, kJ per mole of atoms: 104.2
E_form, eV/atom: 1.45
DFT total energy, eV per formula unit: -13.1

Lattice parameters (Å, degrees): 5.8195 5.8195 5.8195 90.00 90.00 90.00
Last column: nearest neighbours and their distance in Å.
Space group Pm-3m (No. 221)
Asymmetric unit:
Ca: 0.0000 0.0000 0.0000 [1 per cell]  6 Bi 2.91
Bi: 0.0000 0.0000 0.5000 [3 per cell]  2 Ca 2.91
B: 0.5000 0.5000 0.5000 [1 per cell]  12 Bi 4.11